Below is a relaxed NaHg2Bi crystal, with properties calculated at the PBE-GGA level.

* N(E_F): 5.79 states/eV/cell
* DFT formation energy: -0.11 eV per atom

Unit cell a=3.5723 b=3.5723 c=30.4575 alpha=90.00 beta=90.00 gamma=120.00
Space group R3m (No. 160, hexagonal axes)
One atom of each set of equivalent atoms:
Na 0.0000 0.0000 0.0000 (multiplicity 3)
Hg 0.0000 0.0000 0.4117 (multiplicity 3)
Hg 0.0000 0.0000 0.5886 (multiplicity 3)
Bi 0.0000 0.0000 0.8336 (multiplicity 3)

Below is a relaxed Na2Hg4Bi3 crystal, with properties calculated at the PBE-GGA level.

* N(E_F): 4.07 states/eV/cell
* DFT formation energy: -0.09 eV per atom

Unit cell a=5.499 b=7.440 c=8.076 alpha=67.30 beta=70.69 gamma=68.46
Space group P-1 (No. 2)
One atom of each set of equivalent atoms:
Na 0.036 0.168 0.257 (multiplicity 2)
Hg 0.225 0.381 0.673 (multiplicity 2)
Hg 0.306 0.943 0.944 (multiplicity 2)
Bi 0.391 0.491 0.218 (multiplicity 2)
Bi 0.500 0.000 0.500 (multiplicity 1)

Below is a relaxed Na4Hg9Bi2 crystal, with properties calculated at the PBE-GGA level.

* N(E_F): 2.70 states/eV/cell
* DFT formation energy: -0.17 eV per atom

Unit cell a=5.326 b=5.332 c=16.491 alpha=89.71 beta=89.81 gamma=60.16
Space group P-1 (No. 2)
One atom of each set of equivalent atoms:
Na 0.166 0.166 0.348 (multiplicity 2)
Na 0.167 0.167 0.134 (multiplicity 2)
Hg 0.167 0.167 0.545 (multiplicity 2)
Hg 0.167 0.167 0.946 (multiplicity 2)
Hg 0.500 0.499 0.399 (multiplicity 2)
Hg 0.500 0.500 0.000 (multiplicity 1)
Hg 0.500 0.500 0.197 (multiplicity 2)
Bi 0.167 0.167 0.751 (multiplicity 2)

Below is a relaxed Na2Hg2Bi crystal, with properties calculated at the PBE-GGA level.

* N(E_F): 5.93 states/eV/cell
* DFT formation energy: -0.23 eV per atom
* energy above the lowest structure with this stoichiometry: 0.000 eV/atom

Unit cell a=11.434 b=5.060 c=9.928 alpha=90.00 beta=104.75 gamma=90.00
Space group C2/m (No. 12)
One atom of each set of equivalent atoms:
Na 0.066 0.000 0.361 (multiplicity 4)
Na 0.168 0.000 0.046 (multiplicity 4)
Hg 0.041 0.500 0.860 (multiplicity 4)
Hg 0.131 0.500 0.568 (multiplicity 4)
Bi 0.250 0.000 0.723 (multiplicity 4)

Below is a relaxed NaHg7Bi2 crystal, with properties calculated at the PBE-GGA level.

* N(E_F): 7.60 states/eV/cell
* DFT formation energy: 0.02 eV per atom

Unit cell a=10.177 b=18.112 c=3.336 alpha=90.00 beta=90.00 gamma=90.00
Space group Cmmm (No. 65)
One atom of each set of equivalent atoms:
Na 0.000 0.000 0.000 (multiplicity 2)
Hg 0.000 0.179 0.000 (multiplicity 4)
Hg 0.000 0.500 0.500 (multiplicity 2)
Hg 0.220 0.092 0.500 (multiplicity 8)
Bi 0.000 0.334 0.500 (multiplicity 4)

Below is a relaxed Na4HgBi2 crystal, with properties calculated at the PBE-GGA level.

* N(E_F): 6.12 states/eV/cell
* DFT formation energy: -0.10 eV per atom

Unit cell a=5.733 b=5.733 c=15.503 alpha=90.00 beta=90.00 gamma=90.00
Space group I4/mmm (No. 139)
One atom of each set of equivalent atoms:
Na 0.000 0.000 0.194 (multiplicity 4)
Na 0.000 0.500 0.000 (multiplicity 4)
Hg 0.000 0.000 0.000 (multiplicity 2)
Bi 0.000 0.000 0.398 (multiplicity 4)

Below is a relaxed Na5HgBi4 crystal, with properties calculated at the PBE-GGA level.

* N(E_F): 3.00 states/eV/cell
* DFT formation energy: -0.29 eV per atom

Unit cell a=3.460 b=3.460 c=23.775 alpha=90.00 beta=90.00 gamma=90.00
Space group P4/mmm (No. 123)
One atom of each set of equivalent atoms:
Na 0.000 0.000 0.000 (multiplicity 1)
Na 0.000 0.000 0.205 (multiplicity 2)
Na 0.000 0.000 0.407 (multiplicity 2)
Hg 0.500 0.500 0.500 (multiplicity 1)
Bi 0.500 0.500 0.103 (multiplicity 2)
Bi 0.500 0.500 0.308 (multiplicity 2)

Below is a relaxed Na2NdHgBi2 crystal, with properties calculated at the PBE-GGA level.

* N(E_F): 5.02 states/eV/cell
* DFT formation energy: -0.43 eV per atom

Unit cell a=4.852 b=9.514 c=7.888 alpha=90.00 beta=90.00 gamma=90.00
Space group Pmc2_1 (No. 26)
One atom of each set of equivalent atoms:
Na 0.000 0.046 0.000 (multiplicity 2)
Na 0.500 0.158 0.303 (multiplicity 2)
Nd 0.500 0.475 0.939 (multiplicity 2)
Hg 0.000 0.321 0.593 (multiplicity 2)
Bi 0.000 0.357 0.189 (multiplicity 2)
Bi 0.500 0.173 0.727 (multiplicity 2)